1.
VASP calculation (PBE) on crystalline MgMoIr2Os at its relaxed geometry.

a b c (Å): 4.6497 4.7364 4.6497
angles (deg): 90.00 90.00 90.00
Each line ends with the local moment (μB).
Fractional positions:
Mo 0.0000 0.0000 0.0000  0.02
Ir 0.0000 0.0000 0.5000  -0.03
Ir 0.5000 0.0000 0.0000  0.10
Os 0.5000 0.5000 0.5000  1.80
Mg 0.0000 0.5000 0.0000  0.00

The calculation puts the formation energy at 1998 meV/atom.

***

2.
VASP calculation (PBE) on crystalline MgMoIr2Pb at its relaxed geometry.

a b c (Å): 4.7711 5.0745 4.7711
angles (deg): 90.00 90.00 90.00
Fractional positions:
Pb 0.5000 0.5000 0.5000
Mo 0.0000 0.0000 0.0000
Ir 0.0000 0.0000 0.5000
Ir 0.5000 0.0000 0.0000
Mg 0.0000 0.5000 0.0000

The calculation puts the formation energy at 987 meV/atom.

***

3.
VASP calculation (PBE) on crystalline MgMoIrRu at its relaxed geometry.

a b c (Å): 4.3972 4.3972 4.3972
angles (deg): 60.00 60.00 60.00
Fractional positions:
Ru 0.0000 0.0000 0.0000
Mo 0.7500 0.7500 0.7500
Ir 0.5000 0.5000 0.5000
Mg 0.2500 0.2500 0.2500

The calculation puts the formation energy at -103 meV/atom.

***

4.
VASP calculation (PBE) on crystalline Mg2Si2MoIr5 at its relaxed geometry.

a b c (Å): 3.5561 9.3003 9.3003
angles (deg): 90.00 90.00 90.00
Fractional positions:
Mg 0.0000 0.6727 0.1727
Mg 0.0000 0.3273 0.8273
Mg 0.0000 0.1727 0.3273
Mg 0.0000 0.8273 0.6727
Si 0.0000 0.1259 0.6259
Si 0.0000 0.8741 0.3741
Si 0.0000 0.6259 0.8741
Si 0.0000 0.3741 0.1259
Mo 0.0000 0.0000 0.0000
Mo 0.0000 0.5000 0.5000
Ir 0.5000 0.2051 0.0731
Ir 0.5000 0.7949 0.9269
Ir 0.5000 0.0731 0.7949
Ir 0.5000 0.7051 0.4269
Ir 0.5000 0.9269 0.2051
Ir 0.5000 0.2949 0.5731
Ir 0.5000 0.5731 0.7051
Ir 0.5000 0.4269 0.2949
Ir 0.5000 0.5000 0.0000
Ir 0.5000 0.0000 0.5000

The calculation puts the energy relative to the elements, uncorrected at -0.37 eV/atom.

***

5.
VASP calculation (PBE) on crystalline MgTa2MoIr at its relaxed geometry.

a b c (Å): 4.6308 4.6308 4.4126
angles (deg): 90.00 90.00 90.00
Fractional positions:
Mo 0.0000 0.0000 0.5000
Ir 0.5000 0.5000 0.5000
Mg 0.0000 0.0000 0.0000
Ta 0.0000 0.5000 0.0000
Ta 0.5000 0.0000 0.0000

The calculation puts the formation energy at 1982 meV/atom.

***

6.
VASP calculation (PBE) on crystalline Mg2TiMoIr at its relaxed geometry.

a b c (Å): 4.9179 4.3900 4.9179
angles (deg): 90.00 90.00 90.00
Fractional positions:
Mo 0.0000 0.0000 0.0000
Ir 0.5000 0.5000 0.5000
Mg 0.0000 0.0000 0.5000
Mg 0.5000 0.0000 0.0000
Ti 0.0000 0.5000 0.0000

The calculation puts the formation energy at 1282 meV/atom.